{"formula": "Er8Th3", "functional": "PBE", "state": "relaxed", "ef_kj_per_mol_atoms": 46.0, "crystal_system": "trigonal", "total_energy_ha_per_atom": -0.179, "spacegroup": "R-3 (148)", "n_ef_per_ev_cell": 20.3, "cell": [[7.443, -0.541, -2.141], [-2.695, 6.960, -2.141], [-0.400, -0.541, 7.735]], "species": ["Er", "Er", "Th", "Er", "Th", "Er", "Er", "Er", "Er", "Er", "Th"], "fractional_positions": [[0.168, 0.004, 0.687], [0.996, 0.313, 0.832], [0.500, 0.000, 0.500], [0.832, 0.996, 0.313], [0.000, 0.500, 0.500], [0.313, 0.832, 0.996], [0.004, 0.687, 0.168], [0.254, 0.254, 0.254], [0.746, 0.746, 0.746], [0.687, 0.168, 0.004], [0.500, 0.500, 0.000]]}

***

{"formula": "Ac3Dy", "functional": "PBE", "state": "relaxed", "ef_kj_per_mol_atoms": 15.6, "crystal_system": "cubic", "total_energy_ha_per_atom": -0.150, "spacegroup": "Fm-3m (225)", "n_ef_per_ev_cell": 10.6, "cell": [[-4.283, -4.373, -0.938], [1.534, -5.983, 0.448], [-2.069, -3.379, 4.759]], "species": ["Ac", "Ac", "Ac", "Dy"], "fractional_positions": [[0.750, 0.750, 0.750], [0.000, 0.000, 0.000], [0.250, 0.250, 0.250], [0.500, 0.500, 0.500]]}

***

{"formula": "CaTcB3", "functional": "PBE", "state": "relaxed", "ef_kj_per_mol_atoms": 24.6, "crystal_system": "cubic", "total_energy_ha_per_atom": -0.229, "spacegroup": "Pm-3m (221)", "n_ef_per_ev_cell": 1.1, "cell": [[4.141, 0.000, 0.000], [0.000, 4.141, 0.000], [0.000, 0.000, 4.141]], "species": ["Tc", "B", "B", "B", "Ca"], "fractional_positions": [[0.000, 0.000, 0.000], [0.000, 0.000, 0.500], [0.000, 0.500, 0.000], [0.500, 0.000, 0.000], [0.500, 0.500, 0.500]]}